(1)
# ScHgO2F, PBEsol geometry, DFT SCAN
# Raw formation energy in eV/atom: -2.18
data_ScHgO2F
_chemical_formula_sum 'Sc1 Hg1 O2 F1'
_symmetry_space_group_name_H-M 'P 4/m m m'
_symmetry_Int_Tables_number 123
_symmetry_space_group_name_Hall '-P 4 2'
_cell_length_a 4.1090
_cell_length_b 4.1090
_cell_length_c 3.9444
_cell_angle_alpha 90.00
_cell_angle_beta 90.00
_cell_angle_gamma 90.00
loop_
_atom_site_label
_atom_site_type_symbol
_atom_site_fract_x
_atom_site_fract_y
_atom_site_fract_z
Sc1 Sc 0.0000 0.0000 0.0000
Hg1 Hg 0.5000 0.5000 0.5000
O1 O 0.0000 0.5000 0.0000
F1 F 0.0000 0.0000 0.5000

=====

(2)
# Bi2PO6, PBEsol geometry, DFT SCAN
# Raw formation energy in eV/atom: -1.61
data_Bi2PO6
_chemical_formula_sum 'Bi8 P4 O24'
_symmetry_space_group_name_H-M 'P 1 21/c 1'
_symmetry_Int_Tables_number 14
_cell_length_a 6.9043
_cell_length_b 6.9043
_cell_length_c 10.3341
_cell_angle_alpha 90.00
_cell_angle_beta 107.50
_cell_angle_gamma 90.00
loop_
_symmetry_equiv_pos_as_xyz
'x,y,z'
'-x,-y,-z'
'-x,y+1/2,-z+1/2'
'x,-y+1/2,z+1/2'
loop_
_atom_site_label
_atom_site_type_symbol
_atom_site_fract_x
_atom_site_fract_y
_atom_site_fract_z
Bi1 Bi 0.1015 0.1239 0.3195
Bi2 Bi 0.2519 0.5976 0.5256
P1 P 0.3734 0.0697 0.6728
O1 O 0.0071 0.5730 0.6201
O2 O 0.0697 0.7057 0.8649
O3 O 0.2335 0.6118 0.1328
O4 O 0.3165 0.2113 0.5509
O5 O 0.3379 0.1468 0.8052
O6 O 0.3986 0.5224 0.7852

=====

(3)
# Tl2MoAu, PBEsol geometry, DFT SCAN
# DFT formation energy in meV/atom: 551.7
data_Tl2MoAu
_chemical_formula_sum 'Tl4 Mo2 Au2'
_symmetry_space_group_name_H-M 'A m m 2'
_symmetry_Int_Tables_number 38
_cell_length_a 4.6340
_cell_length_b 3.1538
_cell_length_c 11.0125
_cell_angle_alpha 90.00
_cell_angle_beta 90.00
_cell_angle_gamma 90.00
loop_
_symmetry_equiv_pos_as_xyz
'x,y,z'
'-x,-y,z'
'-x,y,z'
'x,-y,z'
'x,y+1/2,z+1/2'
'-x,-y+1/2,z+1/2'
'-x,y+1/2,z+1/2'
'x,-y+1/2,z+1/2'
loop_
_atom_site_label
_atom_site_type_symbol
_atom_site_fract_x
_atom_site_fract_y
_atom_site_fract_z
Tl1 Tl 0.0000 0.0000 0.0000
Tl2 Tl 0.5000 0.0000 0.3119
Mo1 Mo 0.5000 0.0000 0.5756
Au1 Au 0.0000 0.0000 0.7239

=====

(4)
# SrCuB3, PBEsol geometry, DFT SCAN
# DFT formation energy in meV/atom: 1116.9
data_SrCuB3
_chemical_formula_sum 'Sr1 Cu1 B3'
_symmetry_space_group_name_H-M 'P m -3 m'
_symmetry_Int_Tables_number 221
_symmetry_space_group_name_Hall '-P 4 2 3'
_cell_length_a 4.0384
_cell_length_b 4.0384
_cell_length_c 4.0384
_cell_angle_alpha 90.00
_cell_angle_beta 90.00
_cell_angle_gamma 90.00
loop_
_atom_site_label
_atom_site_type_symbol
_atom_site_fract_x
_atom_site_fract_y
_atom_site_fract_z
Sr1 Sr 0.0000 0.0000 0.0000
Cu1 Cu 0.5000 0.5000 0.5000
B1 B 0.0000 0.5000 0.5000

=====

(5)
# Mo5W3, PBEsol geometry, DFT SCAN
# DFT formation energy in meV/atom: -3.0
data_Mo5W3
_chemical_formula_sum 'Mo20 W12'
_symmetry_space_group_name_H-M 'A m m 2'
_symmetry_Int_Tables_number 38
_cell_length_a 6.2728
_cell_length_b 8.8713
_cell_length_c 8.8708
_cell_angle_alpha 90.00
_cell_angle_beta 90.00
_cell_angle_gamma 90.00
loop_
_symmetry_equiv_pos_as_xyz
'x,y,z'
'-x,-y,z'
'-x,y,z'
'x,-y,z'
'x,y+1/2,z+1/2'
'-x,-y+1/2,z+1/2'
'-x,y+1/2,z+1/2'
'x,-y+1/2,z+1/2'
loop_
_atom_site_label
_atom_site_type_symbol
_atom_site_fract_x
_atom_site_fract_y
_atom_site_fract_z
Mo1 Mo 0.0000 0.0000 0.0000
Mo2 Mo 0.0000 0.2496 0.2494
Mo3 Mo 0.2495 0.0000 0.2494
Mo4 Mo 0.2496 0.2500 0.4994
Mo5 Mo 0.5000 0.0000 0.4990
W1 W 0.0000 0.0000 0.4987
W2 W 0.2494 0.0000 0.7494
W3 W 0.5000 0.0000 0.0000
W4 W 0.5000 0.2493 0.2494

=====

(6)
# AlSiTe4, PBEsol geometry, DFT SCAN
# Raw formation energy in eV/atom: 0.88
data_AlSiTe4
_chemical_formula_sum 'Al4 Si4 Te16'
_symmetry_space_group_name_H-M 'F -4 3 m'
_symmetry_Int_Tables_number 216
_symmetry_space_group_name_Hall 'F -4 2 3'
_cell_length_a 8.7837
_cell_length_b 8.7837
_cell_length_c 8.7837
_cell_angle_alpha 90.00
_cell_angle_beta 90.00
_cell_angle_gamma 90.00
loop_
_atom_site_label
_atom_site_type_symbol
_atom_site_fract_x
_atom_site_fract_y
_atom_site_fract_z
Al1 Al 0.0000 0.0000 0.0000
Si1 Si 0.2500 0.2500 0.2500
Te1 Te 0.1249 0.1249 0.6249

=====

(7)
# AgCl2, PBEsol geometry, DFT SCAN
# Raw formation energy in eV/atom: -0.40
data_AgCl2
_chemical_formula_sum 'Ag4 Cl8'
_symmetry_space_group_name_H-M 'I 41/a m d'
_symmetry_Int_Tables_number 141
_cell_length_a 5.1902
_cell_length_b 5.1902
_cell_length_c 10.2843
_cell_angle_alpha 90.00
_cell_angle_beta 90.00
_cell_angle_gamma 90.00
loop_
_symmetry_equiv_pos_as_xyz
'x,y,z'
'-x,-y,-z'
'-y+1/4,x+3/4,z+1/4'
'y+1/4,-x+3/4,-z+1/4'
'-x+1/2,-y,z+1/2'
'x+1/2,y,-z+1/2'
'y+1/4,-x+1/4,z+3/4'
'-y+1/4,x+1/4,-z+3/4'
'x,-y,-z'
'-x,y,z'
'-y+1/4,-x+1/4,-z+3/4'
'y+1/4,x+1/4,z+3/4'
'-x+1/2,y,-z+1/2'
'x+1/2,-y,z+1/2'
'y+1/4,x+3/4,-z+1/4'
'-y+1/4,-x+3/4,z+1/4'
'x+1/2,y+1/2,z+1/2'
'-x+1/2,-y+1/2,-z+1/2'
'-y+3/4,x+1/4,z+3/4'
'y+3/4,-x+1/4,-z+3/4'
'-x,-y+1/2,z'
'x,y+1/2,-z'
'y+3/4,-x+3/4,z+1/4'
'-y+3/4,x+3/4,-z+1/4'
'x+1/2,-y+1/2,-z+1/2'
'-x+1/2,y+1/2,z+1/2'
'-y+3/4,-x+3/4,-z+1/4'
'y+3/4,x+3/4,z+1/4'
'-x,y+1/2,-z'
'x,-y+1/2,z'
'y+3/4,x+1/4,-z+3/4'
'-y+3/4,-x+1/4,z+3/4'
loop_
_atom_site_label
_atom_site_type_symbol
_atom_site_fract_x
_atom_site_fract_y
_atom_site_fract_z
Ag1 Ag 0.0000 0.2500 0.3750
Cl1 Cl 0.0000 0.2500 0.1383

=====

(8)
# SiAgPt3, PBEsol geometry, DFT SCAN
# Raw formation energy in eV/atom: 1.82
data_SiAgPt3
_chemical_formula_sum 'Si1 Ag1 Pt3'
_symmetry_space_group_name_H-M 'P m -3 m'
_symmetry_Int_Tables_number 221
_symmetry_space_group_name_Hall '-P 4 2 3'
_cell_length_a 4.7723
_cell_length_b 4.7723
_cell_length_c 4.7723
_cell_angle_alpha 90.00
_cell_angle_beta 90.00
_cell_angle_gamma 90.00
loop_
_atom_site_label
_atom_site_type_symbol
_atom_site_fract_x
_atom_site_fract_y
_atom_site_fract_z
Si1 Si 0.0000 0.0000 0.0000
Ag1 Ag 0.5000 0.5000 0.5000
Pt1 Pt 0.0000 0.5000 0.5000

=====

(9)
# Ga2PbN, PBEsol geometry, DFT SCAN
# Raw formation energy in eV/atom: 1.16
data_Ga2PbN
_chemical_formula_sum 'Ga8 Pb4 N4'
_symmetry_space_group_name_H-M 'F m -3 m'
_symmetry_Int_Tables_number 225
_symmetry_space_group_name_Hall '-F 4 2 3'
_cell_length_a 6.6050
_cell_length_b 6.6050
_cell_length_c 6.6050
_cell_angle_alpha 90.00
_cell_angle_beta 90.00
_cell_angle_gamma 90.00
loop_
_atom_site_label
_atom_site_type_symbol
_atom_site_fract_x
_atom_site_fract_y
_atom_site_fract_z
Ga1 Ga 0.2500 0.2500 0.2500
Pb1 Pb 0.0000 0.0000 0.0000
N1 N 0.0000 0.0000 0.5000

=====

(10)
# LiWSe, PBEsol geometry, DFT SCAN
# Raw formation energy in eV/atom: 1.20
data_LiWSe
_chemical_formula_sum 'Li4 W4 Se4'
_symmetry_space_group_name_H-M 'F -4 3 m'
_symmetry_Int_Tables_number 216
_symmetry_space_group_name_Hall 'F -4 2 3'
_cell_length_a 5.6769
_cell_length_b 5.6769
_cell_length_c 5.6769
_cell_angle_alpha 90.00
_cell_angle_beta 90.00
_cell_angle_gamma 90.00
loop_
_atom_site_label
_atom_site_type_symbol
_atom_site_fract_x
_atom_site_fract_y
_atom_site_fract_z
Li1 Li 0.0000 0.0000 0.0000
W1 W 0.2500 0.2500 0.7500
Se1 Se 0.2500 0.2500 0.2500

=====

(11)
# Y5Cu3, PBEsol geometry, DFT SCAN
# DFT formation energy in meV/atom: -154.1
data_Y5Cu3
_chemical_formula_sum 'Y10 Cu6'
_symmetry_space_group_name_H-M 'P 63/m c m'
_symmetry_Int_Tables_number 193
_symmetry_space_group_name_Hall '-P 6c 2'
_cell_length_a 8.2066
_cell_length_b 8.2066
_cell_length_c 6.3239
_cell_angle_alpha 90.00
_cell_angle_beta 90.00
_cell_angle_gamma 120.00
loop_
_atom_site_label
_atom_site_type_symbol
_atom_site_fract_x
_atom_site_fract_y
_atom_site_fract_z
Y1 Y 0.0000 0.2444 0.2500
Y2 Y 0.3333 0.6667 0.0000
Cu1 Cu 0.0000 0.4011 0.7500

=====

Looking at total magnetization for the records above, in order, we have 0.0, 0.0, 0.0, 0.0, 0.0, 0.0, 0.0, 0.0, 1.8, 2.9, 0.0 μB per formula unit.
Looking at V for the records above, in order, we have 67, 470, 161, 66, 494, 678, 277, 109, 288, 183, 369 Å³ per cell.
Looking at uncorrected energy for the records above, in order, we have -109.33, -877.68, -493.10, -54.18, -1534.06, -645.86, -194.14, -242.89, -452.52, -354.18, -372.09 eV/cell.